Entry 1:
Cu2Ag7: optimized geometry, GGA-PBE.

Geometry as POSCAR:
```
Cu2Ag7
1.0
-1.4464 1.9929 13.0230
1.4464 -1.9929 13.0230
1.4464 1.9929 -13.0230
Cu Ag
2 7
Direct
0.2252 0.2252 0.0000
0.7748 0.7748 0.0000
0.0000 0.0000 0.0000
0.1168 0.1168 0.0000
0.3251 0.3251 0.0000
0.4416 0.4416 0.0000
0.5584 0.5584 0.0000
0.6749 0.6749 0.0000
0.8832 0.8832 0.0000
```

Values from the calculation:
Energy, eV/atom: -2.9678
E_form, kJ/mol of atoms: 5.30

***

Entry 2:
CuAg: optimized geometry, GGA-PBE.

Geometry as POSCAR:
```
CuAg
1.0
2.3619 -7.0148 0.0000
2.3619 7.0148 0.0000
-1.4025 0.0000 4.5103
Cu Ag
5 5
Direct
0.0000 0.0000 0.0000
0.1965 0.8035 0.0000
0.5000 0.5000 0.5000
0.7003 0.2997 0.5000
0.9046 0.0954 0.5000
0.0955 0.9045 0.5000
0.2987 0.7013 0.5000
0.4062 0.5938 0.0000
0.6028 0.3972 0.0000
0.8012 0.1988 0.0000
```

Values from the calculation:
Energy, eV/atom: -3.1680
E_form, kJ/mol of atoms: 9.90

***

Entry 3:
Cu7Ag2: optimized geometry, GGA-PBE.

Geometry as POSCAR:
```
Cu7Ag2
1.0
6.7210 -1.3649 0.0000
6.7210 1.3649 0.0000
-0.5293 0.0000 6.4833
Cu Ag
7 2
Direct
0.0000 0.0000 0.0000
0.2195 0.2195 0.3327
0.3299 0.3299 0.9901
0.4385 0.4385 0.6892
0.5615 0.5615 0.3108
0.6701 0.6701 0.0099
0.7805 0.7805 0.6673
0.1087 0.1087 0.6640
0.8913 0.8913 0.3360
```

Values from the calculation:
Energy, eV/atom: -3.4446
E_form, kJ/mol of atoms: 7.14

***

Entry 4:
Cu5Ag3: optimized geometry, GGA-PBE.

Geometry as POSCAR:
```
Cu5Ag3
1.0
2.7829 -5.5827 0.0000
2.7829 5.5827 0.0000
0.0000 0.0000 3.6601
Cu Ag
5 3
Direct
0.0000 0.0000 0.0000
0.1197 0.3547 0.5000
0.3547 0.1197 0.5000
0.6453 0.8803 0.5000
0.8803 0.6453 0.5000
0.2479 0.7521 0.0000
0.5000 0.5000 0.0000
0.7521 0.2479 0.0000
```

Values from the calculation:
Energy, eV/atom: -3.2890
E_form, kJ/mol of atoms: 9.00

***

Entry 5:
Cu4Ag5: optimized geometry, GGA-PBE.

Geometry as POSCAR:
```
Cu4Ag5
1.0
7.0451 -1.4320 0.0000
7.0451 1.4320 0.0000
-4.0858 0.0000 6.8136
Cu Ag
4 5
Direct
0.0000 0.0000 0.0000
0.5395 0.5395 0.2999
0.7800 0.7800 0.6667
0.8886 0.8886 0.3227
0.1087 0.1087 0.6290
0.2160 0.2160 0.3380
0.3359 0.3359 0.9902
0.4393 0.4393 0.6597
0.6606 0.6606 0.9897
```

Values from the calculation:
Energy, eV/atom: -3.1320
E_form, kJ/mol of atoms: 8.59

***

Entry 6:
CuAg: optimized geometry, GGA-PBE.

Geometry as POSCAR:
```
CuAg
1.0
7.2109 -1.3939 0.0000
7.2109 1.3939 0.0000
-2.0694 0.0000 7.3649
Cu Ag
5 5
Direct
0.0000 0.0000 0.0000
0.0049 0.0049 0.5295
0.1944 0.1944 0.1084
0.5962 0.5962 0.8255
0.7901 0.7901 0.4014
0.1942 0.1942 0.6143
0.3994 0.3994 0.6996
0.3997 0.3997 0.2359
0.5958 0.5958 0.2969
0.7980 0.7980 0.9251
```

Values from the calculation:
Energy, eV/atom: -3.1689
E_form, kJ/mol of atoms: 9.81

***

Entry 7:
Cu3Ag5: optimized geometry, GGA-PBE.

Geometry as POSCAR:
```
Cu3Ag5
1.0
4.4672 -1.9769 0.0000
4.4672 1.9769 0.0000
-3.4993 0.0000 7.1027
Cu Ag
3 5
Direct
0.0000 0.0000 0.0000
0.0050 0.0050 0.5109
0.2511 0.2511 0.8787
0.2527 0.2527 0.3809
0.5002 0.5002 0.2478
0.5022 0.5022 0.7597
0.7507 0.7507 0.6385
0.7533 0.7533 0.1215
```

Values from the calculation:
Energy, eV/atom: -3.0669
E_form, kJ/mol of atoms: 8.89

***

Entry 8:
Cu3Ag5: optimized geometry, GGA-PBE.

Geometry as POSCAR:
```
Cu3Ag5
1.0
6.1009 -1.4093 0.0000
6.1009 1.4093 0.0000
-5.6999 0.0000 7.3205
Cu Ag
3 5
Direct
0.0000 0.0000 0.0000
0.2558 0.2558 0.7589
0.7442 0.7442 0.2411
0.1284 0.1284 0.3664
0.3751 0.3751 0.1200
0.5000 0.5000 0.5000
0.6249 0.6249 0.8800
0.8716 0.8716 0.6336
```

Values from the calculation:
Energy, eV/atom: -3.0611
E_form, kJ/mol of atoms: 9.45

***

Entry 9:
Cu3Ag7: optimized geometry, GGA-PBE.

Geometry as POSCAR:
```
Cu3Ag7
1.0
4.4930 -2.0186 0.0000
4.4930 2.0186 0.0000
-0.0315 0.0000 8.9900
Cu Ag
3 7
Direct
0.0000 0.0000 0.0000
0.2032 0.2032 0.5942
0.7968 0.7968 0.4058
0.1024 0.1024 0.3071
0.3003 0.3003 0.8991
0.4004 0.4004 0.2006
0.5000 0.5000 0.5000
0.5996 0.5996 0.7994
0.6997 0.6997 0.1009
0.8976 0.8976 0.6929
```

Values from the calculation:
Energy, eV/atom: -3.0112
E_form, kJ/mol of atoms: 7.80

***

Entry 10:
Cu3Ag2: optimized geometry, GGA-PBE.

Geometry as POSCAR:
```
Cu3Ag2
1.0
5.7666 -1.3813 0.0000
5.7666 1.3813 0.0000
-1.5789 0.0000 8.9603
Cu Ag
6 4
Direct
0.0000 0.0000 0.0000
0.1083 0.1083 0.3253
0.2000 0.2000 0.5919
0.5000 0.5000 0.5000
0.8000 0.8000 0.4081
0.8917 0.8917 0.6747
0.3071 0.3071 0.8891
0.4110 0.4110 0.2101
0.5890 0.5890 0.7899
0.6929 0.6929 0.1109
```

Values from the calculation:
Energy, eV/atom: -3.2776
E_form, kJ/mol of atoms: 7.94

***

Entry 11:
Cu5Ag3: optimized geometry, GGA-PBE.

Geometry as POSCAR:
```
Cu5Ag3
1.0
2.7468 0.0000 0.0000
0.0000 3.6847 0.0000
0.0000 0.0000 11.1437
Cu Ag
5 3
Direct
0.0000 0.0000 0.0000
0.0000 0.0000 0.2215
0.5000 0.5000 0.1113
0.5000 0.5000 0.6324
0.5000 0.5000 0.8892
0.0000 0.0000 0.5027
0.0000 0.0000 0.7600
0.5000 0.5000 0.3513
```

Values from the calculation:
Energy, eV/atom: -3.2986
E_form, kJ/mol of atoms: 8.07

***

Entry 12:
Cu2Ag7: optimized geometry, GGA-PBE.

Geometry as POSCAR:
```
Cu2Ag7
1.0
4.5739 -2.0155 0.0000
4.5739 2.0155 0.0000
-2.7478 0.0000 8.1620
Cu Ag
2 7
Direct
0.0012 0.0012 0.3400
0.9988 0.9988 0.6600
0.0000 0.0000 0.0000
0.3319 0.3319 0.7724
0.3384 0.3384 0.4473
0.3386 0.3386 0.1178
0.6614 0.6614 0.8822
0.6616 0.6616 0.5527
0.6681 0.6681 0.2276
```

Values from the calculation:
Energy, eV/atom: -2.9597
E_form, kJ/mol of atoms: 6.08